Entry w
The following is a PBE calculation of KScPb2 after structural relaxation, from Alexandria.

D(E_F): 0.45 states/eV per atom
total magnetization: 0.00 μB/cell
crystal system: tetragonal

Geometry as CIF:
```
data_KScPb2
_chemical_formula_sum 'K1 Sc1 Pb2'
_cell_length_a 4.5851
_cell_length_b 5.0322
_cell_length_c 5.0322
_cell_angle_alpha 90.00
_cell_angle_beta 90.00
_cell_angle_gamma 90.00
_space_group_name_H-M_alt 'P 1'
_space_group_IT_number 1
_space_group_name_Hall 'P 1'
loop_
_atom_site_label
_atom_site_fract_x
_atom_site_fract_y
_atom_site_fract_z
K1 0.5000 0.0000 0.5000
Pb1 0.0000 0.0000 0.0000
Pb2 0.0000 0.5000 0.5000
Sc1 0.5000 0.5000 0.0000
```


Entry x
The following is a PBE calculation of KScPb2 after structural relaxation, from Alexandria.

D(E_F): 0.38 states/eV per atom
total magnetization: 0.00 μB/cell
crystal system: tetragonal

Geometry as CIF:
```
data_KScPb2
_chemical_formula_sum 'K1 Sc1 Pb2'
_cell_length_a 5.7928
_cell_length_b 5.7928
_cell_length_c 5.7928
_cell_angle_alpha 128.69
_cell_angle_beta 128.67
_cell_angle_gamma 75.53
_space_group_name_H-M_alt 'P 1'
_space_group_IT_number 1
_space_group_name_Hall 'P 1'
loop_
_atom_site_label
_atom_site_fract_x
_atom_site_fract_y
_atom_site_fract_z
K1 0.2500 0.7500 0.5000
Pb1 0.9999 0.9999 0.0000
Pb2 0.5001 0.5001 0.0000
Sc1 0.7500 0.2500 0.5000
```


Stability, lowest: entry w


Entry w
The following is a PBE calculation of Dy2PuPt after structural relaxation, from Alexandria.

D(E_F): 1.64 states/eV per atom
total magnetization: 6.94 μB/cell
crystal system: tetragonal

Geometry as CIF:
```
data_Dy2PuPt
_chemical_formula_sum 'Dy2 Pu1 Pt1'
_cell_length_a 3.5222
_cell_length_b 3.5222
_cell_length_c 8.3414
_cell_angle_alpha 90.00
_cell_angle_beta 90.00
_cell_angle_gamma 90.00
_space_group_name_H-M_alt 'P 1'
_space_group_IT_number 1
_space_group_name_Hall 'P 1'
loop_
_atom_site_label
_atom_site_fract_x
_atom_site_fract_y
_atom_site_fract_z
Dy1 0.0000 0.0000 0.8007
Dy2 0.0000 0.0000 0.1993
Pt1 0.5000 0.5000 0.0000
Pu1 0.5000 0.5000 0.5000
```


Entry x
The following is a PBE calculation of Dy2PuPt after structural relaxation, from Alexandria.

D(E_F): 2.65 states/eV per atom
total magnetization: 7.20 μB/cell
crystal system: trigonal

Geometry as CIF:
```
data_Dy2PuPt
_chemical_formula_sum 'Dy2 Pu1 Pt1'
_cell_length_a 3.7580
_cell_length_b 3.7580
_cell_length_c 9.6239
_cell_angle_alpha 78.74
_cell_angle_beta 78.74
_cell_angle_gamma 60.00
_space_group_name_H-M_alt 'P 1'
_space_group_IT_number 1
_space_group_name_Hall 'P 1'
loop_
_atom_site_label
_atom_site_fract_x
_atom_site_fract_y
_atom_site_fract_z
Dy1 0.2697 0.2697 0.1908
Dy2 0.7303 0.7303 0.8092
Pt1 0.0000 0.0000 0.0000
Pu1 0.5000 0.5000 0.5000
```


Stability, lowest: entry x


Entry w
The following is a PBE calculation of ScZn2Mo after structural relaxation, from Alexandria.

D(E_F): 0.63 states/eV per atom
total magnetization: 0.00 μB/cell
crystal system: monoclinic

Geometry as CIF:
```
data_ScZn2Mo
_chemical_formula_sum 'Sc1 Zn2 Mo1'
_cell_length_a 3.9030
_cell_length_b 2.9442
_cell_length_c 6.4025
_cell_angle_alpha 62.45
_cell_angle_beta 90.00
_cell_angle_gamma 90.00
_space_group_name_H-M_alt 'P 1'
_space_group_IT_number 1
_space_group_name_Hall 'P 1'
loop_
_atom_site_label
_atom_site_fract_x
_atom_site_fract_y
_atom_site_fract_z
Mo1 0.5000 0.2500 0.2500
Sc1 0.5000 0.7500 0.7500
Zn1 0.0000 0.9812 0.0188
Zn2 0.0000 0.5188 0.4812
```


Entry x
The following is a PBE calculation of ScZn2Mo after structural relaxation, from Alexandria.

D(E_F): 0.55 states/eV per atom
total magnetization: 0.00 μB/cell
crystal system: tetragonal

Geometry as CIF:
```
data_ScZn2Mo
_chemical_formula_sum 'Sc1 Zn2 Mo1'
_cell_length_a 4.7286
_cell_length_b 4.7286
_cell_length_c 2.8995
_cell_angle_alpha 90.00
_cell_angle_beta 90.00
_cell_angle_gamma 90.00
_space_group_name_H-M_alt 'P 1'
_space_group_IT_number 1
_space_group_name_Hall 'P 1'
loop_
_atom_site_label
_atom_site_fract_x
_atom_site_fract_y
_atom_site_fract_z
Mo1 0.5000 0.0000 0.5000
Sc1 0.0000 0.5000 0.5000
Zn1 0.0000 0.0000 0.0000
Zn2 0.5000 0.5000 0.0000
```


Stability, lowest: entry x


Entry w
The following is a PBE calculation of Tc2NiRu after structural relaxation, from Alexandria.

D(E_F): 1.12 states/eV per atom
total magnetization: 0.00 μB/cell
crystal system: orthorhombic

Geometry as CIF:
```
data_Tc2NiRu
_chemical_formula_sum 'Tc2 Ni1 Ru1'
_cell_length_a 2.6817
_cell_length_b 3.8131
_cell_length_c 5.2947
_cell_angle_alpha 90.00
_cell_angle_beta 90.00
_cell_angle_gamma 90.00
_space_group_name_H-M_alt 'P 1'
_space_group_IT_number 1
_space_group_name_Hall 'P 1'
loop_
_atom_site_label
_atom_site_fract_x
_atom_site_fract_y
_atom_site_fract_z
Ni1 0.5000 0.5000 0.2500
Ru1 0.5000 0.5000 0.7500
Tc1 0.0000 0.0000 0.0095
Tc2 0.0000 0.0000 0.4905
```


Entry x
The following is a PBE calculation of Tc2NiRu after structural relaxation, from Alexandria.

D(E_F): 1.25 states/eV per atom
total magnetization: 0.00 μB/cell
crystal system: monoclinic

Geometry as CIF:
```
data_Tc2NiRu
_chemical_formula_sum 'Tc2 Ni1 Ru1'
_cell_length_a 4.6678
_cell_length_b 4.6678
_cell_length_c 4.5896
_cell_angle_alpha 80.64
_cell_angle_beta 80.64
_cell_angle_gamma 33.58
_space_group_name_H-M_alt 'P 1'
_space_group_IT_number 1
_space_group_name_Hall 'P 1'
loop_
_atom_site_label
_atom_site_fract_x
_atom_site_fract_y
_atom_site_fract_z
Ni1 0.7500 0.7500 0.7500
Ru1 0.2500 0.2500 0.2500
Tc1 0.0011 0.0011 0.0002
Tc2 0.4989 0.4989 0.4998
```


Entry y
The following is a PBE calculation of Tc2NiRu after structural relaxation, from Alexandria.

D(E_F): 1.74 states/eV per atom
total magnetization: 0.00 μB/cell
crystal system: trigonal

Geometry as CIF:
```
data_Tc2NiRu
_chemical_formula_sum 'Tc2 Ni1 Ru1'
_cell_length_a 8.8187
_cell_length_b 8.8187
_cell_length_c 8.8187
_cell_angle_alpha 17.60
_cell_angle_beta 17.60
_cell_angle_gamma 17.60
_space_group_name_H-M_alt 'P 1'
_space_group_IT_number 1
_space_group_name_Hall 'P 1'
loop_
_atom_site_label
_atom_site_fract_x
_atom_site_fract_y
_atom_site_fract_z
Ni1 0.2500 0.2500 0.2500
Ru1 0.7500 0.7500 0.7500
Tc1 0.9982 0.9982 0.9982
Tc2 0.5018 0.5018 0.5018
```


Stability, lowest: entry y


Entry w
The following is a PBE calculation of BaYAl2 after structural relaxation, from Alexandria.

D(E_F): 1.15 states/eV per atom
total magnetization: 0.00 μB/cell
crystal system: tetragonal

Geometry as CIF:
```
data_BaYAl2
_chemical_formula_sum 'Ba2 Y2 Al4'
_cell_length_a 8.7052
_cell_length_b 8.7052
_cell_length_c 7.0442
_cell_angle_alpha 51.84
_cell_angle_beta 51.84
_cell_angle_gamma 90.00
_space_group_name_H-M_alt 'P 1'
_space_group_IT_number 1
_space_group_name_Hall 'P 1'
loop_
_atom_site_label
_atom_site_fract_x
_atom_site_fract_y
_atom_site_fract_z
Y1 0.5000 0.5000 0.0000
Y2 0.2500 0.7500 0.5000
Ba1 0.0000 0.0000 0.0000
Ba2 0.7500 0.2500 0.5000
Al1 0.5888 0.1250 0.2500
Al2 0.1612 0.6250 0.2500
Al3 0.3750 0.4112 0.7500
Al4 0.8750 0.8388 0.7500
```


Entry x
The following is a PBE calculation of BaYAl2 after structural relaxation, from Alexandria.

D(E_F): 0.48 states/eV per atom
total magnetization: 0.00 μB/cell
crystal system: orthorhombic

Geometry as CIF:
```
data_BaYAl2
_chemical_formula_sum 'Ba1 Y1 Al2'
_cell_length_a 5.7968
_cell_length_b 5.7968
_cell_length_c 3.4336
_cell_angle_alpha 89.99
_cell_angle_beta 89.99
_cell_angle_gamma 103.32
_space_group_name_H-M_alt 'P 1'
_space_group_IT_number 1
_space_group_name_Hall 'P 1'
loop_
_atom_site_label
_atom_site_fract_x
_atom_site_fract_y
_atom_site_fract_z
Y1 0.0000 0.5000 0.5000
Ba1 0.5000 0.0000 0.5000
Al1 0.0000 0.0000 0.0000
Al2 0.5000 0.5000 0.0000
```


Stability, lowest: entry w


Entry w
The following is a PBE calculation of InCo2As after structural relaxation, from Alexandria.

D(E_F): 0.96 states/eV per atom
total magnetization: 0.56 μB/cell
crystal system: orthorhombic

Geometry as CIF:
```
data_InCo2As
_chemical_formula_sum 'In1 Co2 As1'
_cell_length_a 4.4065
_cell_length_b 2.9871
_cell_length_c 4.8712
_cell_angle_alpha 72.17
_cell_angle_beta 90.00
_cell_angle_gamma 90.00
_space_group_name_H-M_alt 'P 1'
_space_group_IT_number 1
_space_group_name_Hall 'P 1'
loop_
_atom_site_label
_atom_site_fract_x
_atom_site_fract_y
_atom_site_fract_z
As1 0.5000 0.8990 0.8271
Co1 0.0000 0.8319 0.9616
Co2 0.5000 0.2010 0.2235
In1 0.0000 0.5681 0.4878
```


Entry x
The following is a PBE calculation of InCo2As after structural relaxation, from Alexandria.

D(E_F): 0.56 states/eV per atom
total magnetization: 0.00 μB/cell
crystal system: tetragonal

Geometry as CIF:
```
data_InCo2As
_chemical_formula_sum 'In2 Co4 As2'
_cell_length_a 6.6940
_cell_length_b 6.6940
_cell_length_c 5.5254
_cell_angle_alpha 52.72
_cell_angle_beta 52.72
_cell_angle_gamma 90.00
_space_group_name_H-M_alt 'P 1'
_space_group_IT_number 1
_space_group_name_Hall 'P 1'
loop_
_atom_site_label
_atom_site_fract_x
_atom_site_fract_y
_atom_site_fract_z
As1 0.5000 0.5000 0.0000
As2 0.2500 0.7500 0.5000
Co1 0.5673 0.1250 0.2500
Co2 0.1827 0.6250 0.2500
Co3 0.3750 0.4327 0.7500
Co4 0.8750 0.8173 0.7500
In1 0.0000 0.0000 0.0000
In2 0.7500 0.2500 0.5000
```


Stability, lowest: entry x


Entry w
The following is a PBE calculation of Y3Cl after structural relaxation, from Alexandria.

D(E_F): 1.45 states/eV per atom
total magnetization: 1.90 μB/cell
crystal system: hexagonal

Geometry as CIF:
```
data_Y3Cl
_chemical_formula_sum 'Y6 Cl2'
_cell_length_a 6.8620
_cell_length_b 6.8620
_cell_length_c 5.8736
_cell_angle_alpha 90.00
_cell_angle_beta 90.00
_cell_angle_gamma 120.00
_space_group_name_H-M_alt 'P 1'
_space_group_IT_number 1
_space_group_name_Hall 'P 1'
loop_
_atom_site_label
_atom_site_fract_x
_atom_site_fract_y
_atom_site_fract_z
Y1 0.8352 0.6705 0.2500
Y2 0.3295 0.1648 0.2500
Y3 0.8352 0.1648 0.2500
Y4 0.1648 0.3295 0.7500
Y5 0.6705 0.8352 0.7500
Y6 0.1648 0.8352 0.7500
Cl1 0.3333 0.6667 0.2500
Cl2 0.6667 0.3333 0.7500
```


Entry x
The following is a PBE calculation of Y3Cl after structural relaxation, from Alexandria.

D(E_F): 1.65 states/eV per atom
total magnetization: 1.22 μB/cell
crystal system: tetragonal

Geometry as CIF:
```
data_Y3Cl
_chemical_formula_sum 'Y3 Cl1'
_cell_length_a 6.4062
_cell_length_b 6.4062
_cell_length_c 6.4062
_cell_angle_alpha 137.25
_cell_angle_beta 137.25
_cell_angle_gamma 62.05
_space_group_name_H-M_alt 'P 1'
_space_group_IT_number 1
_space_group_name_Hall 'P 1'
loop_
_atom_site_label
_atom_site_fract_x
_atom_site_fract_y
_atom_site_fract_z
Cl1 0.0000 0.0000 0.0000
Y1 0.2500 0.7500 0.5000
Y2 0.5000 0.5000 0.0000
Y3 0.7500 0.2500 0.5000
```


Stability, lowest: entry w


Entry w
The following is a PBE calculation of BC2 after structural relaxation, from Alexandria.

D(E_F): 0.18 states/eV per atom
total magnetization: 0.00 μB/cell
crystal system: triclinic

Geometry as CIF:
```
data_BC2
_chemical_formula_sum 'B4 C8'
_cell_length_a 5.6553
_cell_length_b 5.8439
_cell_length_c 3.8981
_cell_angle_alpha 90.59
_cell_angle_beta 89.79
_cell_angle_gamma 143.80
_space_group_name_H-M_alt 'P 1'
_space_group_IT_number 1
_space_group_name_Hall 'P 1'
loop_
_atom_site_label
_atom_site_fract_x
_atom_site_fract_y
_atom_site_fract_z
B1 0.1493 0.8184 0.5179
B2 0.7954 0.6511 0.2008
B3 0.5379 0.5156 0.5493
B4 0.1840 0.3483 0.2321
C1 0.3409 0.6792 0.9883
C2 0.9925 0.4875 0.7617
C3 0.8384 0.1720 0.5070
C4 0.4949 0.9947 0.2430
C5 0.6566 0.3102 0.9942
C6 0.3351 0.1661 0.7728
C7 0.9983 0.0006 0.9772
C8 0.6768 0.8565 0.7558
```


Entry x
The following is a PBE calculation of BC2 after structural relaxation, from Alexandria.

D(E_F): 0.07 states/eV per atom
total magnetization: 0.00 μB/cell
crystal system: orthorhombic

Geometry as CIF:
```
data_BC2
_chemical_formula_sum 'B4 C8'
_cell_length_a 2.5641
_cell_length_b 2.4682
_cell_length_c 12.1161
_cell_angle_alpha 90.00
_cell_angle_beta 90.00
_cell_angle_gamma 90.00
_space_group_name_H-M_alt 'P 1'
_space_group_IT_number 1
_space_group_name_Hall 'P 1'
loop_
_atom_site_label
_atom_site_fract_x
_atom_site_fract_y
_atom_site_fract_z
B1 0.5000 0.5000 0.8291
B2 0.5000 0.0000 0.9422
B3 0.5000 0.5000 0.4745
B4 0.5000 0.0000 0.5876
C1 0.0000 0.0000 0.6737
C2 0.0000 0.5000 0.7430
C3 0.5000 0.5000 0.1720
C4 0.5000 0.0000 0.2447
C5 0.0000 0.0000 0.3205
C6 0.0000 0.5000 0.3930
C7 0.0000 0.0000 0.0237
C8 0.0000 0.5000 0.0962
```


Stability, lowest: entry w


Entry w
The following is a PBE calculation of H3Ru after structural relaxation, from Alexandria.

D(E_F): 0.47 states/eV per atom
total magnetization: 0.00 μB/cell
crystal system: orthorhombic

Geometry as CIF:
```
data_H3Ru
_chemical_formula_sum 'H3 Ru1'
_cell_length_a 2.9027
_cell_length_b 4.0630
_cell_length_c 3.3005
_cell_angle_alpha 127.99
_cell_angle_beta 116.09
_cell_angle_gamma 90.00
_space_group_name_H-M_alt 'P 1'
_space_group_IT_number 1
_space_group_name_Hall 'P 1'
loop_
_atom_site_label
_atom_site_fract_x
_atom_site_fract_y
_atom_site_fract_z
Ru1 0.0000 0.0670 0.0000
H1 0.2639 0.6551 0.5279
H2 0.5000 0.3174 0.0000
H3 0.7361 0.1272 0.4721
```


Entry x
The following is a PBE calculation of H3Ru after structural relaxation, from Alexandria.

D(E_F): 0.49 states/eV per atom
total magnetization: 0.00 μB/cell
crystal system: tetragonal

Geometry as CIF:
```
data_H3Ru
_chemical_formula_sum 'H3 Ru1'
_cell_length_a 2.8211
_cell_length_b 2.8212
_cell_length_c 2.8858
_cell_angle_alpha 90.00
_cell_angle_beta 90.00
_cell_angle_gamma 90.00
_space_group_name_H-M_alt 'P 1'
_space_group_IT_number 1
_space_group_name_Hall 'P 1'
loop_
_atom_site_label
_atom_site_fract_x
_atom_site_fract_y
_atom_site_fract_z
Ru1 0.0000 0.0000 0.9835
H1 0.0000 0.5000 0.3844
H2 0.5000 0.0000 0.3846
H3 0.5000 0.5000 0.9140
```


Stability, lowest: entry w